VASP calculation (GGA+U) on an optimized crystal structure of Co3TeO8.

abc: 5.8659 5.8659 5.8659
angles: 58.30 58.30 58.30
Last column: nearest neighbours and their distance in Å.
Fractional positions:
1 Co 0.0000 0.5000 0.5000  6 O 1.86-1.95
2 Co 0.5000 0.0000 0.5000  6 O 1.86-1.95
3 Co 0.5000 0.5000 0.0000  6 O 1.86-1.95
4 Te 0.5000 0.5000 0.5000  6 O 1.99
5 O 0.2581 0.2581 0.7164  2 Co 1.95, 1 Te 1.99
6 O 0.2581 0.7164 0.2581  2 Co 1.95, 1 Te 1.99
7 O 0.2737 0.2737 0.2737  3 Co 1.86
8 O 0.2836 0.7419 0.7419  2 Co 1.95, 1 Te 1.99
9 O 0.7164 0.2581 0.2581  2 Co 1.95, 1 Te 1.99
10 O 0.7263 0.7263 0.7263  3 Co 1.86
11 O 0.7419 0.2836 0.7419  2 Co 1.95, 1 Te 1.99
12 O 0.7419 0.7419 0.2836  2 Co 1.95, 1 Te 1.99

Calculated values
Total magnetization   1.000 μB/cell
Space-group type   R-3m
Electronic total energy   -5.66 eV/atom